# MgCd3Ga (PBEsol, relaxed)
data_MgCd3Ga
_space_group_name_H-M_alt 'P m -3 m'
_space_group_IT_number 221
_space_group_name_Hall '-P 4 2 3'
_cell_length_a 5.1341
_cell_length_b 5.1341
_cell_length_c 5.1341
_cell_angle_alpha 90.00
_cell_angle_beta 90.00
_cell_angle_gamma 90.00
loop_
_atom_site_label
_atom_site_type_symbol
_atom_site_fract_x
_atom_site_fract_y
_atom_site_fract_z
Mg1 Mg 0.0000 0.0000 0.0000
Cd1 Cd 0.0000 0.5000 0.5000
Ga1 Ga 0.5000 0.5000 0.5000
# - Relative energy among the computed polymorphs: 0 meV/atom
# - Energy relative to the elements: 0.330 eV/atom